Entry 1:
VASP calculation (PBE) on an optimized crystal structure of ErGa2Si.

```
ErGa2Si
1.0
4.1693 0.0000 0.0000
0.0000 4.1693 0.0000
0.0000 0.0000 4.2684
Er Ga Si
1 2 1
Cartesian
0.0000 0.0000 0.0000
0.0000 2.0847 2.1342
2.0847 0.0000 2.1342
2.0847 2.0847 0.0000
```

Crystal system = tetragonal
Excess energy over the best structure of this formula in the dataset = 0 meV/atom
Uncorrected formation energy = -419 meV per atom

***

Entry 2:
VASP calculation (PBE) on an optimized crystal structure of K4Ho3BiSe8.

```
K4Ho3BiSe8
1.0
4.2321 2.4434 7.6873
-4.2321 2.4434 7.6873
0.0000 -4.8868 7.6873
K Ho Bi Se
4 3 1 8
Cartesian
0.0000 0.0000 0.0000
-2.1161 -1.2217 7.6873
-2.1160 1.2217 15.3746
0.0000 2.4434 7.6873
-4.2321 0.0000 11.5309
-2.1160 1.2217 3.8436
2.1161 1.2217 3.8436
0.0000 0.0000 11.5309
-2.1644 -1.2496 13.1182
0.0000 0.0000 5.4073
0.0000 -2.4992 9.9437
-2.1644 1.2496 9.9437
2.1644 -1.2496 13.1182
0.0000 2.4992 13.1182
0.0000 0.0000 17.6546
2.1644 1.2496 9.9437
```

Crystal system = trigonal
Uncorrected formation energy = -1521 meV per atom

***

Number 2 is which compound? K4Ho3BiSe8